# 1
A plane-wave DFT calculation with PBE was carried out for crystalline AcTm2Tl9 at its relaxed geometry.

Its symmetry is P4/mmm.

a = 4.852 Å, b = 4.852 Å, c = 14.445 Å
α = 90.00°, β = 90.00°, γ = 90.00°
Fractional coordinates of all 12 atoms:
1 Tm 0.000 0.000 0.341
2 Tl 0.500 0.000 0.500
3 Tm 0.000 0.000 0.659
4 Tl 0.500 0.500 0.662
5 Tl 0.500 0.000 0.821
6 Tl 0.000 0.500 0.500
7 Tl 0.000 0.500 0.179
8 Ac 0.000 0.000 0.000
9 Tl 0.500 0.000 0.179
10 Tl 0.500 0.500 0.000
11 Tl 0.000 0.500 0.821
12 Tl 0.500 0.500 0.338

=====

# 2
A plane-wave DFT calculation with PBE was carried out for crystalline AcTmTl2 at its relaxed geometry.

Its symmetry is P4/mmm.

a = 4.482 Å, b = 5.291 Å, c = 5.291 Å
α = 90.00°, β = 90.00°, γ = 90.00°
Fractional coordinates of all 4 atoms:
1 Tm 0.500 0.500 0.500
2 Ac 0.500 0.000 0.000
3 Tl 0.000 0.500 0.000
4 Tl 0.000 0.000 0.500

=====

# 3
A plane-wave DFT calculation with PBE was carried out for crystalline AcTm5Tl3 at its relaxed geometry.

Its symmetry is P6_3/mcm.

a = 6.813 Å, b = 9.404 Å, c = 9.403 Å
α = 120.00°, β = 90.00°, γ = 90.00°
Fractional coordinates of all 18 atoms:
1 Tm 0.500 0.333 0.667
2 Tl 0.750 0.658 0.000
3 Tm 0.750 0.000 0.335
4 Tm 0.250 0.665 0.000
5 Tm 0.000 0.333 0.667
6 Tm 0.500 0.667 0.333
7 Tm 0.750 0.665 0.665
8 Tm 0.250 0.335 0.335
9 Ac 0.500 0.000 0.000
10 Tl 0.250 0.000 0.342
11 Ac 0.000 0.000 0.000
12 Tl 0.250 0.658 0.658
13 Tl 0.750 0.000 0.658
14 Tm 0.750 0.335 0.000
15 Tm 0.250 0.000 0.665
16 Tl 0.250 0.342 0.000
17 Tl 0.750 0.342 0.342
18 Tm 0.000 0.667 0.333

=====

# 4
A plane-wave DFT calculation with PBE was carried out for crystalline AcTm2Tl at its relaxed geometry.

As for the energy above the most stable polymorph in this dataset: 169 meV/atom. Its symmetry is R3m.

a = 5.191 Å, b = 5.191 Å, c = 6.677 Å
α = 67.12°, β = 67.12°, γ = 60.00°
Fractional coordinates of all 4 atoms:
1 Tm 0.276 0.276 0.172
2 Tl 0.695 0.695 0.914
3 Tm 0.039 0.039 0.883
4 Ac 0.490 0.490 0.530

=====

# 5
A plane-wave DFT calculation with PBE was carried out for crystalline AcTm4Tl5 at its relaxed geometry.

Its symmetry is P4/mmm.

a = 3.771 Å, b = 3.771 Å, c = 19.748 Å
α = 90.00°, β = 90.00°, γ = 90.00°
Fractional coordinates of all 10 atoms:
1 Tm 0.000 0.000 0.406
2 Tl 0.500 0.500 0.312
3 Tm 0.000 0.000 0.594
4 Tl 0.500 0.500 0.688
5 Tm 0.000 0.000 0.786
6 Ac 0.000 0.000 0.000
7 Tl 0.500 0.500 0.120
8 Tl 0.500 0.500 0.500
9 Tl 0.500 0.500 0.880
10 Tm 0.000 0.000 0.214

=====

# 6
A plane-wave DFT calculation with PBE was carried out for crystalline AcTm3Tl4 at its relaxed geometry.

Its symmetry is Pmma.

a = 5.567 Å, b = 7.557 Å, c = 10.960 Å
α = 90.00°, β = 90.00°, γ = 90.00°
Fractional coordinates of all 16 atoms:
1 Tl 0.061 0.770 0.750
2 Ac 0.000 0.500 0.000
3 Tl 0.061 0.230 0.750
4 Tl 0.500 0.770 0.500
5 Tm 0.000 0.000 0.500
6 Tm 0.467 0.500 0.250
7 Tm 0.000 0.000 0.000
8 Tl 0.939 0.230 0.250
9 Tm 0.437 0.000 0.250
10 Tm 0.533 0.500 0.750
11 Tl 0.939 0.770 0.250
12 Ac 0.000 0.500 0.500
13 Tm 0.563 0.000 0.750
14 Tl 0.500 0.230 0.500
15 Tl 0.500 0.770 0.000
16 Tl 0.500 0.230 0.000

=====

# 7
A plane-wave DFT calculation with PBE was carried out for crystalline Ac4TmTl5 at its relaxed geometry.

Its symmetry is P4/mmm.

a = 3.956 Å, b = 3.956 Å, c = 21.342 Å
α = 90.00°, β = 90.00°, γ = 90.00°
Fractional coordinates of all 10 atoms:
1 Tl 0.500 0.500 0.920
2 Ac 0.000 0.000 0.395
3 Tl 0.500 0.500 0.289
4 Ac 0.000 0.000 0.814
5 Tl 0.500 0.500 0.500
6 Ac 0.000 0.000 0.605
7 Tm 0.000 0.000 0.000
8 Tl 0.500 0.500 0.711
9 Ac 0.000 0.000 0.186
10 Tl 0.500 0.500 0.080

=====

# 8
A plane-wave DFT calculation with PBE was carried out for crystalline Ac2TmTl at its relaxed geometry.

As for the energy above the most stable polymorph in this dataset: 167 meV/atom. Its symmetry is R3m.

a = 5.832 Å, b = 5.832 Å, c = 5.827 Å
α = 59.97°, β = 59.97°, γ = 60.00°
Fractional coordinates of all 4 atoms:
1 Tm 0.500 0.500 0.499
2 Ac 0.000 0.000 0.001
3 Tl 0.750 0.750 0.750
4 Ac 0.250 0.250 0.250

=====

# 9
A plane-wave DFT calculation with PBE was carried out for crystalline Ac2TmTl3 at its relaxed geometry.

As for the energy above the most stable polymorph in this dataset: 197 meV/atom. Its symmetry is Immm.

a = 3.921 Å, b = 6.700 Å, c = 9.025 Å
α = 111.79°, β = 102.55°, γ = 90.00°
Fractional coordinates of all 6 atoms:
1 Tl 0.649 0.649 0.298
2 Ac 0.675 0.175 0.349
3 Tl 0.000 0.000 0.000
4 Tl 0.351 0.351 0.702
5 Ac 0.325 0.825 0.651
6 Tm 0.000 0.500 0.000

=====

# 10
A plane-wave DFT calculation with PBE was carried out for crystalline AcTm2Tl3 at its relaxed geometry.

Its symmetry is P4/mmm.

a = 3.844 Å, b = 3.844 Å, c = 11.856 Å
α = 90.00°, β = 90.00°, γ = 90.00°
Fractional coordinates of all 6 atoms:
1 Tl 0.000 0.000 0.305
2 Tm 0.500 0.500 0.154
3 Ac 0.500 0.500 0.500
4 Tl 0.000 0.000 0.000
5 Tl 0.000 0.000 0.695
6 Tm 0.500 0.500 0.846

=====

| no. | D(E_F) (states/eV/atom) | electronic total energy (eV/cell) | ΔE_f (kJ/mol of atoms) |
| --- | --- | --- | --- |
| 1 | 0.2857 | -37.0 | -21.3 |
| 2 | 0.8919 | -14.3 | -24.5 |
| 3 | 1.0606 | -70.7 | -18.9 |
| 4 | 1.2200 | -15.3 | 3.5 |
| 5 | 0.7492 | -36.8 | -29.1 |
| 6 | 0.7502 | -58.4 | -27.0 |
| 7 | 0.8482 | -36.1 | -32.7 |
| 8 | 1.8628 | -14.7 | 7.4 |
| 9 | 1.3695 | -20.6 | -12.7 |
| 10 | 0.7658 | -22.0 | -30.0 |